[1]
## BeSeI2 (PBE-GGA)

Data for BeSeI2 after structural relaxation.

```
data_BeSeI2
_cell_length_a 5.1901
_cell_length_b 5.1901
_cell_length_c 5.1901
_cell_angle_alpha 60.00
_cell_angle_beta 60.00
_cell_angle_gamma 60.00
_symmetry_space_group_name_H-M 'P 1'
_symmetry_Int_Tables_number 1
_symmetry_space_group_name_Hall 'P 1'
loop_
_atom_site_label
_atom_site_fract_x
_atom_site_fract_y
_atom_site_fract_z
I1 0.7500 0.7500 0.7500
Be1 0.0000 0.0000 0.0000
Se1 0.5000 0.5000 0.5000
I2 0.2500 0.2500 0.2500
```

## Properties
The value obtained for the uncorrected energy is -1.688 eV/atom. The calculation puts the magnetic moment at 0.00 μB per formula unit. For the excess energy over the best structure of this formula in the dataset, the calculation gives 651 meV per atom.

---

[2]
## BeSe3I (PBE-GGA)

Data for BeSe3I after structural relaxation.

```
data_BeSe3I
_cell_length_a 5.3918
_cell_length_b 5.3918
_cell_length_c 5.3918
_cell_angle_alpha 90.00
_cell_angle_beta 90.00
_cell_angle_gamma 90.00
_symmetry_space_group_name_H-M 'P 1'
_symmetry_Int_Tables_number 1
_symmetry_space_group_name_Hall 'P 1'
loop_
_atom_site_label
_atom_site_fract_x
_atom_site_fract_y
_atom_site_fract_z
Be1 0.5000 0.5000 0.5000
Se1 0.0000 0.5000 0.0000
Se2 0.0000 0.0000 0.5000
I1 0.0000 0.0000 0.0000
Se3 0.5000 0.0000 0.0000
```

## Properties
The value obtained for the uncorrected energy is -1.851 eV/atom. The calculation puts the magnetic moment at 0.00 μB per formula unit. For the excess energy over the best structure of this formula in the dataset, the calculation gives 934 meV per atom.

---

[3]
## Be3SeI (PBE-GGA)

Data for Be3SeI after structural relaxation.

```
data_Be3SeI
_cell_length_a 4.7953
_cell_length_b 4.7953
_cell_length_c 4.7953
_cell_angle_alpha 90.00
_cell_angle_beta 90.00
_cell_angle_gamma 90.00
_symmetry_space_group_name_H-M 'P 1'
_symmetry_Int_Tables_number 1
_symmetry_space_group_name_Hall 'P 1'
loop_
_atom_site_label
_atom_site_fract_x
_atom_site_fract_y
_atom_site_fract_z
Be1 0.0000 0.0000 0.5000
I1 0.0000 0.0000 0.0000
Be2 0.0000 0.5000 0.0000
Se1 0.5000 0.5000 0.5000
Be3 0.5000 0.0000 0.0000
```

## Properties
The value obtained for the uncorrected energy is -1.737 eV/atom. The calculation puts the magnetic moment at 0.00 μB per formula unit. For the excess energy over the best structure of this formula in the dataset, the calculation gives 591 meV per atom.

---

[4]
## BeSeI2 (PBE-GGA)

Data for BeSeI2 after structural relaxation.

```
data_BeSeI2
_cell_length_a 7.3538
_cell_length_b 7.3538
_cell_length_c 7.1618
_cell_angle_alpha 59.11
_cell_angle_beta 59.11
_cell_angle_gamma 90.00
_symmetry_space_group_name_H-M 'P 1'
_symmetry_Int_Tables_number 1
_symmetry_space_group_name_Hall 'P 1'
loop_
_atom_site_label
_atom_site_fract_x
_atom_site_fract_y
_atom_site_fract_z
I1 0.5187 0.1250 0.2500
Se1 0.0000 0.0000 0.0000
Be1 0.2500 0.7500 0.5000
Se2 0.7500 0.2500 0.5000
Be2 0.5000 0.5000 0.0000
I2 0.2313 0.6250 0.2500
I3 0.8750 0.7687 0.7500
I4 0.3750 0.4813 0.7500
```

## Properties
The value obtained for the uncorrected energy is -2.339 eV/atom. The calculation puts the magnetic moment at 2.00 μB per formula unit. For the excess energy over the best structure of this formula in the dataset, the calculation gives 0 meV per atom.

---

[5]
## Be2SeI8 (PBE-GGA)

Data for Be2SeI8 after structural relaxation.

```
data_Be2SeI8
_cell_length_a 6.7721
_cell_length_b 8.8597
_cell_length_c 8.8597
_cell_angle_alpha 62.99
_cell_angle_beta 93.68
_cell_angle_gamma 93.68
_symmetry_space_group_name_H-M 'P 1'
_symmetry_Int_Tables_number 1
_symmetry_space_group_name_Hall 'P 1'
loop_
_atom_site_label
_atom_site_fract_x
_atom_site_fract_y
_atom_site_fract_z
Be1 0.5781 0.8402 0.8402
I1 0.7813 0.1605 0.1605
I2 0.2187 0.8395 0.8395
I3 0.7386 0.7064 0.1233
Se1 0.0000 0.0000 0.0000
I4 0.2614 0.8767 0.2936
I5 0.7386 0.1233 0.7064
I6 0.3993 0.3146 0.3146
I7 0.2614 0.2936 0.8767
Be2 0.4219 0.1598 0.1598
I8 0.6007 0.6854 0.6854
```

## Properties
The value obtained for the uncorrected energy is -2.371 eV/atom. The calculation puts the magnetic moment at 0.00 μB per formula unit.

---

[6]
## Be2Se4I (PBE-GGA)

Data for Be2Se4I after structural relaxation.

```
data_Be2Se4I
_cell_length_a 5.2658
_cell_length_b 5.2658
_cell_length_c 7.7834
_cell_angle_alpha 70.23
_cell_angle_beta 70.23
_cell_angle_gamma 90.00
_symmetry_space_group_name_H-M 'P 1'
_symmetry_Int_Tables_number 1
_symmetry_space_group_name_Hall 'P 1'
loop_
_atom_site_label
_atom_site_fract_x
_atom_site_fract_y
_atom_site_fract_z
Be1 0.4180 0.4180 0.1641
I1 0.0000 0.0000 0.0000
Se1 0.0000 0.5000 0.0000
Se2 0.5000 0.0000 0.0000
Se3 0.7331 0.7331 0.5338
Be2 0.5820 0.5820 0.8359
Se4 0.2669 0.2669 0.4662
```

## Properties
The value obtained for the uncorrected energy is -2.829 eV/atom. The calculation puts the magnetic moment at 0.00 μB per formula unit.

---

[7]
## BeSeI3 (PBE-GGA)

Data for BeSeI3 after structural relaxation.

```
data_BeSeI3
_cell_length_a 5.7500
_cell_length_b 5.7500
_cell_length_c 5.7500
_cell_angle_alpha 90.00
_cell_angle_beta 90.00
_cell_angle_gamma 90.00
_symmetry_space_group_name_H-M 'P 1'
_symmetry_Int_Tables_number 1
_symmetry_space_group_name_Hall 'P 1'
loop_
_atom_site_label
_atom_site_fract_x
_atom_site_fract_y
_atom_site_fract_z
I1 0.0000 0.0000 0.5000
Se1 0.0000 0.0000 0.0000
I2 0.5000 0.0000 0.0000
I3 0.0000 0.5000 0.0000
Be1 0.5000 0.5000 0.5000
```

## Properties
The value obtained for the uncorrected energy is -1.654 eV/atom. The calculation puts the magnetic moment at 0.24 μB per formula unit. For the excess energy over the best structure of this formula in the dataset, the calculation gives 297 meV per atom.

---

[8]
## Be3SeI (PBE-GGA)

Data for Be3SeI after structural relaxation.

```
data_Be3SeI
_cell_length_a 4.5819
_cell_length_b 4.5819
_cell_length_c 4.5819
_cell_angle_alpha 90.00
_cell_angle_beta 90.00
_cell_angle_gamma 90.00
_symmetry_space_group_name_H-M 'P 1'
_symmetry_Int_Tables_number 1
_symmetry_space_group_name_Hall 'P 1'
loop_
_atom_site_label
_atom_site_fract_x
_atom_site_fract_y
_atom_site_fract_z
Be1 0.0000 0.5000 0.0000
Be2 0.0000 0.0000 0.5000
I1 0.5000 0.5000 0.5000
Be3 0.5000 0.0000 0.0000
Se1 0.0000 0.0000 0.0000
```

## Properties
The value obtained for the uncorrected energy is -2.329 eV/atom. The calculation puts the magnetic moment at 0.00 μB per formula unit. For the excess energy over the best structure of this formula in the dataset, the calculation gives 0 meV per atom.

---

[9]
## BeSe3I (PBE-GGA)

Data for BeSe3I after structural relaxation.

```
data_BeSe3I
_cell_length_a 4.7272
_cell_length_b 4.7272
_cell_length_c 4.7272
_cell_angle_alpha 90.00
_cell_angle_beta 90.00
_cell_angle_gamma 90.00
_symmetry_space_group_name_H-M 'P 1'
_symmetry_Int_Tables_number 1
_symmetry_space_group_name_Hall 'P 1'
loop_
_atom_site_label
_atom_site_fract_x
_atom_site_fract_y
_atom_site_fract_z
I1 0.5000 0.5000 0.5000
Se1 0.5000 0.0000 0.0000
Se2 0.0000 0.5000 0.0000
Se3 0.0000 0.0000 0.5000
Be1 0.0000 0.0000 0.0000
```

## Properties
The value obtained for the uncorrected energy is -2.785 eV/atom. The calculation puts the magnetic moment at 0.00 μB per formula unit. For the excess energy over the best structure of this formula in the dataset, the calculation gives 0 meV per atom.

---

[10]
## BeSeI3 (PBE-GGA)

Data for BeSeI3 after structural relaxation.

```
data_BeSeI3
_cell_length_a 5.2613
_cell_length_b 5.2613
_cell_length_c 5.2613
_cell_angle_alpha 90.00
_cell_angle_beta 90.00
_cell_angle_gamma 90.00
_symmetry_space_group_name_H-M 'P 1'
_symmetry_Int_Tables_number 1
_symmetry_space_group_name_Hall 'P 1'
loop_
_atom_site_label
_atom_site_fract_x
_atom_site_fract_y
_atom_site_fract_z
I1 0.0000 0.5000 0.0000
Be1 0.0000 0.0000 0.0000
I2 0.0000 0.0000 0.5000
I3 0.5000 0.0000 0.0000
Se1 0.5000 0.5000 0.5000
```

## Properties
The value obtained for the uncorrected energy is -1.950 eV/atom. The calculation puts the magnetic moment at 1.50 μB per formula unit. For the excess energy over the best structure of this formula in the dataset, the calculation gives 0 meV per atom.